1.
# GGA-PBE PmZn11Co, optimized geometry
data_PmZn11Co
_symmetry_space_group_name_H-M 'C 1 2/m 1'
_symmetry_Int_Tables_number 12
_cell_length_a 5.021
_cell_length_b 12.677
_cell_length_c 6.818
_cell_angle_alpha 90.00
_cell_angle_beta 111.17
_cell_angle_gamma 90.00
loop_
_symmetry_equiv_pos_as_xyz
'x,y,z'
'-x,-y,-z'
'-x,y,-z'
'x,-y,z'
'x+1/2,y+1/2,z'
'-x+1/2,-y+1/2,-z'
'-x+1/2,y+1/2,-z'
'x+1/2,-y+1/2,z'
loop_
_atom_site_label
_atom_site_type_symbol
_atom_site_fract_x
_atom_site_fract_y
_atom_site_fract_z
_atom_site_occupancy
Pm1 Pm 0.000 0.000 0.000 1
Zn1 Zn 0.000 0.000 0.500 1
Zn2 Zn 0.104 0.392 0.225 1
Zn3 Zn 0.197 0.171 0.361 1
Zn4 Zn 0.250 0.250 0.000 1
Co1 Co 0.000 0.500 0.500 1
# Energy relative to the elements   -227 kJ/mol of formula units
# Total moment   0.01 μB per cell
# Calculated density   7.6 Mg/m³
# DFT total energy   -2.17 eV per atom


2.
# GGA-PBE Pm4ZnCo4, optimized geometry
data_Pm4ZnCo4
_symmetry_space_group_name_H-M 'P 42/n'
_symmetry_Int_Tables_number 86
_cell_length_a 8.343
_cell_length_b 8.343
_cell_length_c 5.489
_cell_angle_alpha 90.00
_cell_angle_beta 90.00
_cell_angle_gamma 90.00
loop_
_symmetry_equiv_pos_as_xyz
'x,y,z'
'-x,-y,-z'
'-y,x+1/2,z+1/2'
'y,-x+1/2,-z+1/2'
'-x+1/2,-y+1/2,z'
'x+1/2,y+1/2,-z'
'y+1/2,-x,z+1/2'
'-y+1/2,x,-z+1/2'
loop_
_atom_site_label
_atom_site_type_symbol
_atom_site_fract_x
_atom_site_fract_y
_atom_site_fract_z
_atom_site_occupancy
Pm1 Pm 0.038 0.687 0.103 1
Zn1 Zn 0.250 0.250 0.250 1
Co1 Co 0.010 0.379 0.406 1
# Energy relative to the elements   -21 kJ/mol of formula units
# Total moment   1.50 μB per cell
# Calculated density   7.7 Mg/m³
# DFT total energy   -5.44 eV per atom


3.
# GGA-PBE Pm8ZnCo2, optimized geometry
data_Pm8ZnCo2
_symmetry_space_group_name_H-M 'C 1 2/m 1'
_symmetry_Int_Tables_number 12
_cell_length_a 8.435
_cell_length_b 13.557
_cell_length_c 5.640
_cell_angle_alpha 90.00
_cell_angle_beta 106.04
_cell_angle_gamma 90.00
loop_
_symmetry_equiv_pos_as_xyz
'x,y,z'
'-x,-y,-z'
'-x,y,-z'
'x,-y,z'
'x+1/2,y+1/2,z'
'-x+1/2,-y+1/2,-z'
'-x+1/2,y+1/2,-z'
'x+1/2,-y+1/2,z'
loop_
_atom_site_label
_atom_site_type_symbol
_atom_site_fract_x
_atom_site_fract_y
_atom_site_fract_z
_atom_site_occupancy
Pm1 Pm 0.000 0.239 0.000 1
Pm2 Pm 0.113 0.500 0.812 1
Pm3 Pm 0.211 0.127 0.564 1
Zn1 Zn 0.000 0.000 0.000 1
Co1 Co 0.000 0.288 0.500 1
# Energy relative to the elements   10 kJ/mol of formula units
# Total moment   0.00 μB per cell
# Offset from the most stable computed form   80 meV/atom
# Calculated density   7.2 Mg/m³
# DFT total energy   -4.85 eV per atom


4.
# GGA-PBE Pm2ZnCo, optimized geometry
data_Pm2ZnCo
_symmetry_space_group_name_H-M 'P 1 21/m 1'
_symmetry_Int_Tables_number 11
_cell_length_a 6.175
_cell_length_b 3.874
_cell_length_c 8.256
_cell_angle_alpha 90.00
_cell_angle_beta 109.32
_cell_angle_gamma 90.00
loop_
_symmetry_equiv_pos_as_xyz
'x,y,z'
'-x,-y,-z'
'-x,y+1/2,-z'
'x,-y+1/2,z'
loop_
_atom_site_label
_atom_site_type_symbol
_atom_site_fract_x
_atom_site_fract_y
_atom_site_fract_z
_atom_site_occupancy
Pm1 Pm 0.209 0.250 0.409 1
Pm2 Pm 0.214 0.250 0.947 1
Zn1 Zn 0.378 0.750 0.717 1
Co1 Co 0.324 0.750 0.212 1
# Energy relative to the elements   -70 kJ/mol of formula units
# Total moment   0.00 μB per cell
# Offset from the most stable computed form   0 meV/atom
# Calculated density   7.4 Mg/m³
# DFT total energy   -4.65 eV per atom


5.
# GGA-PBE Pm3Zn2Co2, optimized geometry
data_Pm3Zn2Co2
_symmetry_space_group_name_H-M 'C 1 2/m 1'
_symmetry_Int_Tables_number 12
_cell_length_a 10.959
_cell_length_b 3.839
_cell_length_c 7.905
_cell_angle_alpha 90.00
_cell_angle_beta 111.85
_cell_angle_gamma 90.00
loop_
_symmetry_equiv_pos_as_xyz
'x,y,z'
'-x,-y,-z'
'-x,y,-z'
'x,-y,z'
'x+1/2,y+1/2,z'
'-x+1/2,-y+1/2,-z'
'-x+1/2,y+1/2,-z'
'x+1/2,-y+1/2,z'
loop_
_atom_site_label
_atom_site_type_symbol
_atom_site_fract_x
_atom_site_fract_y
_atom_site_fract_z
_atom_site_occupancy
Pm1 Pm 0.000 0.000 0.000 1
Pm2 Pm 0.193 0.000 0.668 1
Zn1 Zn 0.022 0.500 0.330 1
Co1 Co 0.196 0.500 0.936 1
# Energy relative to the elements   -157 kJ/mol of formula units
# Total moment   0.00 μB per cell
# Calculated density   7.4 Mg/m³
# DFT total energy   -4.66 eV per atom


6.
# GGA-PBE PmZn8Co4, optimized geometry
data_PmZn8Co4
_symmetry_space_group_name_H-M 'I 4/m m m'
_symmetry_Int_Tables_number 139
_symmetry_space_group_name_Hall '-I 4 2'
_cell_length_a 8.715
_cell_length_b 8.715
_cell_length_c 4.972
_cell_angle_alpha 90.00
_cell_angle_beta 90.00
_cell_angle_gamma 90.00
loop_
_atom_site_label
_atom_site_type_symbol
_atom_site_fract_x
_atom_site_fract_y
_atom_site_fract_z
_atom_site_occupancy
Pm1 Pm 0.000 0.000 0.000 1
Zn1 Zn 0.000 0.228 0.500 1
Zn2 Zn 0.000 0.342 0.000 1
Co1 Co 0.250 0.250 0.250 1
# Energy relative to the elements   -193 kJ/mol of formula units
# Total moment   8.62 μB per cell
# Calculated density   8.0 Mg/m³
# DFT total energy   -3.49 eV per atom


7.
# GGA-PBE Pm3Zn4Co2, optimized geometry
data_Pm3Zn4Co2
_symmetry_space_group_name_H-M 'C 1 2/m 1'
_symmetry_Int_Tables_number 12
_cell_length_a 11.053
_cell_length_b 4.177
_cell_length_c 8.463
_cell_angle_alpha 90.00
_cell_angle_beta 111.74
_cell_angle_gamma 90.00
loop_
_symmetry_equiv_pos_as_xyz
'x,y,z'
'-x,-y,-z'
'-x,y,-z'
'x,-y,z'
'x+1/2,y+1/2,z'
'-x+1/2,-y+1/2,-z'
'-x+1/2,y+1/2,-z'
'x+1/2,-y+1/2,z'
loop_
_atom_site_label
_atom_site_type_symbol
_atom_site_fract_x
_atom_site_fract_y
_atom_site_fract_z
_atom_site_occupancy
Pm1 Pm 0.000 0.000 0.000 1
Pm2 Pm 0.184 0.500 0.647 1
Zn1 Zn 0.037 0.000 0.369 1
Zn2 Zn 0.218 0.500 0.059 1
Co1 Co 0.107 0.500 0.267 1
# Energy relative to the elements   -204 kJ/mol of formula units
# Total moment   0.00 μB per cell
# Calculated density   7.5 Mg/m³
# DFT total energy   -3.96 eV per atom


8.
# GGA-PBE Pm4ZnCo, optimized geometry
data_Pm4ZnCo
_symmetry_space_group_name_H-M 'F -4 3 m'
_symmetry_Int_Tables_number 216
_symmetry_space_group_name_Hall 'F -4 2 3'
_cell_length_a 13.578
_cell_length_b 13.578
_cell_length_c 13.578
_cell_angle_alpha 90.00
_cell_angle_beta 90.00
_cell_angle_gamma 90.00
loop_
_atom_site_label
_atom_site_type_symbol
_atom_site_fract_x
_atom_site_fract_y
_atom_site_fract_z
_atom_site_occupancy
Pm1 Pm 0.000 0.000 0.189 1
Pm2 Pm 0.058 0.250 0.750 1
Pm3 Pm 0.100 0.100 0.400 1
Zn1 Zn 0.173 0.173 0.173 1
Co1 Co 0.109 0.109 0.609 1
# Energy relative to the elements   -98 kJ/mol of formula units
# Total moment   0.00 μB per cell
# Offset from the most stable computed form   0 meV/atom
# Calculated density   7.5 Mg/m³
# DFT total energy   -4.73 eV per atom


9.
# GGA-PBE Pm3Zn3Co2, optimized geometry
data_Pm3Zn3Co2
_symmetry_space_group_name_H-M 'C m c m'
_symmetry_Int_Tables_number 63
_symmetry_space_group_name_Hall '-C 2c 2'
_cell_length_a 3.940
_cell_length_b 10.461
_cell_length_c 15.906
_cell_angle_alpha 90.00
_cell_angle_beta 90.00
_cell_angle_gamma 90.00
loop_
_atom_site_label
_atom_site_type_symbol
_atom_site_fract_x
_atom_site_fract_y
_atom_site_fract_z
_atom_site_occupancy
Pm1 Pm 0.000 0.061 0.105 1
Pm2 Pm 0.000 0.340 0.250 1
Zn1 Zn 0.000 0.337 0.034 1
Zn2 Zn 0.000 0.368 0.750 1
Co1 Co 0.000 0.233 0.618 1
# Energy relative to the elements   -176 kJ/mol of formula units
# Total moment   0.00 μB per cell
# Calculated density   7.6 Mg/m³
# DFT total energy   -4.26 eV per atom


10.
# GGA-PBE Pm7Zn2Co2, optimized geometry
data_Pm7Zn2Co2
_symmetry_space_group_name_H-M 'C m m m'
_symmetry_Int_Tables_number 65
_symmetry_space_group_name_Hall '-C 2 2'
_cell_length_a 7.682
_cell_length_b 11.178
_cell_length_c 7.046
_cell_angle_alpha 90.00
_cell_angle_beta 90.00
_cell_angle_gamma 90.00
loop_
_atom_site_label
_atom_site_type_symbol
_atom_site_fract_x
_atom_site_fract_y
_atom_site_fract_z
_atom_site_occupancy
Pm1 Pm 0.000 0.000 0.000 1
Pm2 Pm 0.000 0.500 0.246 1
Pm3 Pm 0.250 0.250 0.255 1
Zn1 Zn 0.164 0.000 0.500 1
Co1 Co 0.000 0.299 0.000 1
# Energy relative to the elements   -64 kJ/mol of formula units
# Total moment   0.00 μB per cell
# Calculated density   6.9 Mg/m³
# DFT total energy   -4.61 eV per atom


11.
# GGA-PBE Pm3ZnCo3, optimized geometry
data_Pm3ZnCo3
_symmetry_space_group_name_H-M 'C m c m'
_symmetry_Int_Tables_number 63
_symmetry_space_group_name_Hall '-C 2c 2'
_cell_length_a 4.238
_cell_length_b 10.044
_cell_length_c 13.129
_cell_angle_alpha 90.00
_cell_angle_beta 90.00
_cell_angle_gamma 90.00
loop_
_atom_site_label
_atom_site_type_symbol
_atom_site_fract_x
_atom_site_fract_y
_atom_site_fract_z
_atom_site_occupancy
Pm1 Pm 0.000 0.004 0.250 1
Pm2 Pm 0.000 0.296 0.102 1
Zn1 Zn 0.000 0.000 0.000 1
Co1 Co 0.000 0.301 0.750 1
Co2 Co 0.000 0.415 0.596 1
# Energy relative to the elements   -113 kJ/mol of formula units
# Total moment   3.83 μB per cell
# Calculated density   8.0 Mg/m³
# DFT total energy   -5.43 eV per atom